No. 1
K2Er2BiO6: relaxed, GGA-PBE.

Unit cell a=5.971 b=5.971 c=6.687 alpha=98.32 beta=98.32 gamma=120.04
Atoms (fractional coordinates):
K 0.167 0.833 0.000
K 0.833 0.167 0.000
Er 0.335 0.665 0.500
Er 0.665 0.335 0.500
Bi 0.000 0.000 0.500
O 0.052 0.395 0.678
O 0.272 0.272 0.321
O 0.395 0.052 0.678
O 0.605 0.948 0.322
O 0.728 0.728 0.679
O 0.948 0.605 0.322

Energy in eV per atom: -6.40
Energy relative to the elements, uncorrected in eV per atom: -2.31
Density of states at the Fermi level in states/eV per atom: 0.344

=====

No. 2
RbNaTl3Pd: relaxed, GGA-PBE.

Unit cell a=8.383 b=8.383 c=7.092 alpha=90.00 beta=90.00 gamma=129.14
Atoms (fractional coordinates):
Rb 0.224 0.776 0.750
Rb 0.776 0.224 0.250
Na 0.144 0.856 0.250
Na 0.856 0.144 0.750
Tl 0.223 0.223 0.000
Tl 0.223 0.223 0.500
Tl 0.362 0.638 0.250
Tl 0.638 0.362 0.750
Tl 0.777 0.777 0.000
Tl 0.777 0.777 0.500
Pd 0.441 0.559 0.750
Pd 0.559 0.441 0.250

ΔE_f in kcal/mol of atoms: -1.11
Energy in eV per atom: -2.48
Density of states at the Fermi level in states/eV per atom: 0.614

=====

No. 3
NaCrS2Cl: relaxed, GGA-PBE.

Unit cell a=5.028 b=5.028 c=4.861 alpha=90.00 beta=90.00 gamma=90.00
Atoms (fractional coordinates):
Na 0.000 0.000 0.000
Cr 0.500 0.500 0.500
S 0.000 0.500 0.000
S 0.500 0.000 0.000
Cl 0.000 0.000 0.500

E above lowest polymorph in kJ per mole of atoms: 107.18
Energy in eV per atom: -3.66
Energy relative to the elements, uncorrected in eV per atom: 0.55
Density of states at the Fermi level in states/eV per atom: 0.680

=====

No. 4
CaThZn17: relaxed, GGA-PBE.

Unit cell a=6.849 b=6.849 c=6.849 alpha=82.80 beta=82.80 gamma=82.80
Atoms (fractional coordinates):
Ca 0.000 0.000 0.000
Th 0.326 0.326 0.326
Zn 0.014 0.014 0.501
Zn 0.014 0.501 0.014
Zn 0.163 0.662 0.662
Zn 0.311 0.311 0.823
Zn 0.311 0.823 0.311
Zn 0.368 0.664 0.956
Zn 0.368 0.956 0.664
Zn 0.501 0.014 0.014
Zn 0.564 0.564 0.564
Zn 0.662 0.163 0.662
Zn 0.662 0.662 0.163
Zn 0.664 0.368 0.956
Zn 0.664 0.956 0.368
Zn 0.763 0.763 0.763
Zn 0.823 0.311 0.311
Zn 0.956 0.368 0.664
Zn 0.956 0.664 0.368

ΔE_f in kcal/mol of atoms: -4.58
Energy in eV per atom: -1.83
Density of states at the Fermi level in states/eV per atom: 0.242

=====

No. 5
CdGeBi: relaxed, GGA-PBE.

Unit cell a=4.384 b=4.386 c=12.142 alpha=89.87 beta=89.63 gamma=60.04
Atoms (fractional coordinates):
Cd 0.000 0.000 0.000
Cd 0.013 0.998 0.237
Ge 0.671 0.667 0.722
Ge 0.673 0.667 0.516
Bi 0.336 0.334 0.828
Bi 0.342 0.333 0.409

ΔE_f in kcal/mol of atoms: 5.19
E above lowest polymorph in kJ per mole of atoms: 3.72
Energy in eV per atom: -2.91
Density of states at the Fermi level in states/eV per atom: 0.480

=====

No. 6
BeTcOs2Au: relaxed, GGA-PBE.

Unit cell a=4.186 b=4.186 c=4.186 alpha=90.00 beta=90.00 gamma=90.00
Atoms (fractional coordinates):
Be 0.000 0.000 0.000
Tc 0.500 0.500 0.500
Os 0.000 0.500 0.000
Os 0.500 0.000 0.000
Au 0.000 0.000 0.500

ΔE_f in kcal/mol of atoms: 21.73
Energy in eV per atom: -7.02
Density of states at the Fermi level in states/eV per atom: 0.880

=====

No. 7
TbPm4Ho6: relaxed, GGA-PBE.

Unit cell a=9.706 b=9.706 c=9.706 alpha=140.07 beta=140.07 gamma=57.74
Atoms (fractional coordinates):
Tb 0.000 0.000 0.000
Pm 0.014 0.014 0.378
Pm 0.364 0.986 0.000
Pm 0.636 0.636 0.622
Pm 0.986 0.364 0.000
Ho 0.000 0.500 0.500
Ho 0.196 0.552 0.000
Ho 0.448 0.448 0.644
Ho 0.500 0.000 0.500
Ho 0.552 0.196 0.000
Ho 0.804 0.804 0.356

ΔE_f in kcal/mol of atoms: 6.95
E above lowest polymorph in kJ per mole of atoms: 12.94
Energy in eV per atom: -4.34
Density of states at the Fermi level in states/eV per atom: 1.293

=====

No. 8
ScPaH: relaxed, GGA-PBE.

Unit cell a=6.224 b=6.224 c=6.224 alpha=152.19 beta=152.19 gamma=39.73
Atoms (fractional coordinates):
Sc 0.000 0.000 0.000
Pa 0.287 0.287 0.000
H 0.478 0.478 0.000

E above lowest polymorph in kJ per mole of atoms: 18.87
Energy in eV per atom: -6.38
Density of states at the Fermi level in states/eV per atom: 1.012

=====

No. 9
Zn5PbAu3: relaxed, GGA-PBE.

Unit cell a=7.245 b=7.245 c=13.055 alpha=90.00 beta=90.00 gamma=149.57
Atoms (fractional coordinates):
Zn 0.000 0.000 0.000
Zn 0.000 0.000 0.500
Zn 0.196 0.804 0.553
Zn 0.196 0.804 0.947
Zn 0.437 0.563 0.144
Zn 0.437 0.563 0.356
Zn 0.563 0.437 0.644
Zn 0.563 0.437 0.856
Zn 0.804 0.196 0.053
Zn 0.804 0.196 0.447
Pb 0.159 0.841 0.250
Pb 0.841 0.159 0.750
Au 0.154 0.846 0.750
Au 0.384 0.616 0.569
Au 0.384 0.616 0.931
Au 0.616 0.384 0.069
Au 0.616 0.384 0.431
Au 0.846 0.154 0.250

ΔE_f in kcal/mol of atoms: -2.63
Energy in eV per atom: -2.33
Density of states at the Fermi level in states/eV per atom: 0.390

=====

No. 10
Rb2ZrAlBr: relaxed, GGA-PBE.

Unit cell a=6.246 b=6.246 c=5.953 alpha=90.00 beta=90.00 gamma=90.00
Atoms (fractional coordinates):
Rb 0.000 0.500 0.000
Rb 0.500 0.000 0.000
Zr 0.000 0.000 0.500
Al 0.500 0.500 0.500
Br 0.500 0.500 0.000

Energy in eV per atom: -2.54
Energy relative to the elements, uncorrected in eV per atom: 0.64
Density of states at the Fermi level in states/eV per atom: 0.602

=====

No. 11
ReC2: relaxed, GGA-PBE.

Unit cell a=5.011 b=5.011 c=5.011 alpha=90.00 beta=90.00 gamma=120.00
Atoms (fractional coordinates):
Re 0.000 0.000 0.000
Re 0.333 0.667 0.500
Re 0.667 0.333 0.500
C 0.000 0.306 0.272
C 0.000 0.694 0.728
C 0.306 0.000 0.272
C 0.306 0.306 0.728
C 0.694 0.000 0.728
C 0.694 0.694 0.272

ΔE_f in kcal/mol of atoms: 36.28
E above lowest polymorph in kJ per mole of atoms: 109.34
Energy in eV per atom: -8.73
Density of states at the Fermi level in states/eV per atom: 0.586

=====

No. 12
KIr2Pt: relaxed, GGA-PBE.

Unit cell a=10.313 b=10.313 c=10.313 alpha=15.57 beta=15.57 gamma=15.57
Atoms (fractional coordinates):
K 0.000 0.000 0.000
Ir 0.498 0.498 0.498
Ir 0.761 0.761 0.761
Pt 0.241 0.241 0.241

ΔE_f in kcal/mol of atoms: 9.46
E above lowest polymorph in kJ per mole of atoms: 9.02
Energy in eV per atom: -5.81
Density of states at the Fermi level in states/eV per atom: 0.650

=====

No. 13
Li3Co: relaxed, GGA-PBE.

Unit cell a=2.618 b=2.618 c=9.506 alpha=90.00 beta=90.00 gamma=120.00
Atoms (fractional coordinates):
Li 0.000 0.000 0.000
Li 0.667 0.333 0.276
Li 0.667 0.333 0.724
Co 0.000 0.000 0.500

ΔE_f in kcal/mol of atoms: 3.67
Energy in eV per atom: -3.05
Density of states at the Fermi level in states/eV per atom: 0.640

=====

No. 14
Ni2SbBr: relaxed, GGA-PBE.

Unit cell a=4.198 b=4.427 c=4.228 alpha=90.00 beta=105.27 gamma=90.00
Atoms (fractional coordinates):
Ni 0.000 0.000 0.000
Ni 0.149 0.500 0.774
Sb 0.385 0.000 0.623
Br 0.834 0.500 0.186

E above lowest polymorph in kJ per mole of atoms: 16.11
Energy in eV per atom: -4.20
Energy relative to the elements, uncorrected in eV per atom: 0.14
Density of states at the Fermi level in states/eV per atom: 0.613

=====

No. 15
TiB2Pt: relaxed, GGA-PBE.

Unit cell a=3.945 b=3.945 c=3.945 alpha=60.00 beta=60.00 gamma=60.00
Atoms (fractional coordinates):
Ti 0.000 0.000 0.000
B 0.250 0.250 0.250
B 0.750 0.750 0.750
Pt 0.500 0.500 0.500

ΔE_f in kcal/mol of atoms: 2.61
Energy in eV per atom: -6.71
Density of states at the Fermi level in states/eV per atom: 0.795

=====

No. 16
GaPtRh2: relaxed, GGA-PBE.

Unit cell a=4.465 b=4.465 c=4.465 alpha=57.78 beta=57.78 gamma=57.78
Atoms (fractional coordinates):
Ga 0.000 0.000 0.000
Pt 0.259 0.259 0.259
Rh 0.498 0.498 0.498
Rh 0.735 0.735 0.735

ΔE_f in kcal/mol of atoms: -4.31
Energy in eV per atom: -6.13
Density of states at the Fermi level in states/eV per atom: 1.668

=====

No. 17
Tb6Pr3Er: relaxed, GGA-PBE.

Unit cell a=6.684 b=6.684 c=9.813 alpha=111.96 beta=111.96 gamma=59.44
Atoms (fractional coordinates):
Tb 0.060 0.571 0.185
Tb 0.134 0.134 0.420
Tb 0.429 0.940 0.815
Tb 0.571 0.060 0.185
Tb 0.866 0.866 0.580
Tb 0.940 0.429 0.815
Pr 0.428 0.428 0.798
Pr 0.500 0.500 0.500
Pr 0.572 0.572 0.202
Er 0.000 0.000 0.000

ΔE_f in kcal/mol of atoms: 5.24
E above lowest polymorph in kJ per mole of atoms: 7.77
Energy in eV per atom: -4.44
Density of states at the Fermi level in states/eV per atom: 1.872

=====

No. 18
Na6InF12: relaxed, GGA-PBE.

Unit cell a=6.647 b=6.647 c=6.647 alpha=99.63 beta=99.63 gamma=99.63
Atoms (fractional coordinates):
Na 0.150 0.617 0.260
Na 0.260 0.150 0.617
Na 0.383 0.740 0.850
Na 0.617 0.260 0.150
Na 0.740 0.850 0.383
Na 0.850 0.383 0.740
In 0.000 0.000 0.000
F 0.044 0.692 0.930
F 0.070 0.956 0.308
F 0.144 0.473 0.556
F 0.308 0.070 0.956
F 0.444 0.856 0.527
F 0.473 0.556 0.144
F 0.527 0.444 0.856
F 0.556 0.144 0.473
F 0.692 0.930 0.044
F 0.856 0.527 0.444
F 0.930 0.044 0.692
F 0.956 0.308 0.070

Energy in eV per atom: -4.01
Energy relative to the elements, uncorrected in eV per atom: -2.26

=====

No. 19
Nd6Ho5Sc: relaxed, GGA-PBE.

Unit cell a=9.477 b=9.477 c=9.477 alpha=148.76 beta=116.36 gamma=72.60
Atoms (fractional coordinates):
Nd 0.082 0.334 0.748
Nd 0.246 0.000 0.246
Nd 0.413 0.666 0.748
Nd 0.587 0.334 0.252
Nd 0.754 0.000 0.754
Nd 0.918 0.666 0.252
Ho 0.166 0.166 0.000
Ho 0.334 0.834 0.500
Ho 0.500 0.500 0.000
Ho 0.666 0.166 0.500
Ho 0.834 0.834 0.000
Sc 0.000 0.500 0.500

ΔE_f in kcal/mol of atoms: 0.60
Energy in eV per atom: -4.79
Density of states at the Fermi level in states/eV per atom: 1.354

=====

No. 20
Ca2YAg: relaxed, GGA-PBE.

Unit cell a=6.483 b=6.483 c=3.519 alpha=100.23 beta=100.23 gamma=116.96
Atoms (fractional coordinates):
Ca 0.000 0.500 0.000
Ca 0.500 0.000 0.000
Y 0.000 0.000 0.500
Ag 0.500 0.500 0.500

ΔE_f in kcal/mol of atoms: 2.42
E above lowest polymorph in kJ per mole of atoms: 21.57
Energy in eV per atom: -3.22
Density of states at the Fermi level in states/eV per atom: 0.831